This record from Alexandria via LeMat-Bulk describes a relaxed structure of Mg5Sb2As. The functional is PBE-GGA.

The structure in POSCAR format:
```
Mg5Sb2As
1.0
4.698 0.000 0.000
0.000 9.585 0.000
0.000 0.000 19.558
Mg Sb As
20 8 4
Direct
0.250 0.380 0.323
0.250 0.380 0.006
0.250 0.418 0.837
0.250 0.370 0.501
0.750 0.178 0.167
0.250 0.322 0.667
0.750 0.130 0.001
0.750 0.082 0.337
0.750 0.120 0.506
0.750 0.120 0.823
0.250 0.880 0.177
0.250 0.880 0.494
0.250 0.918 0.663
0.250 0.870 0.999
0.750 0.678 0.333
0.250 0.822 0.833
0.750 0.630 0.499
0.750 0.582 0.163
0.750 0.620 0.994
0.750 0.620 0.677
0.750 0.376 0.412
0.750 0.372 0.751
0.250 0.128 0.251
0.250 0.124 0.912
0.750 0.876 0.088
0.750 0.872 0.749
0.250 0.628 0.249
0.250 0.624 0.588
0.750 0.376 0.070
0.250 0.124 0.570
0.750 0.876 0.430
0.250 0.624 0.930
```

Summary:
N(E_F), states/eV per atom: 0.3313
Magnetization, μB/f.u.: 0.0
DFT total energy, eV per atom: -2.959
Space-group type: No. 62
Calculated volume, Å³ per atom: 27.521
E_form (uncorrected), eV per atom: -0.351